1.
## Al2CuAs (PBE)

Data for an optimized crystal structure of Al2CuAs.

Computed properties:
The value obtained for the density of states at the Fermi level is 1.1 states/eV/f.u. As for the energy of formation from the pure elements: 0.09 eV per atom. The calculated volume comes out at 63.7 Å³/f.u.

abc: 4.8306 4.8306 4.8306
angles: 133.49 127.11 73.05
Last column: nearest neighbours and their distance in Å.
Sites, in units of the cell vectors:
As (0.7500, 0.2500, 0.5000)  8 Al 2.76-2.86, 4 Cu 2.87
Cu (0.2500, 0.7500, 0.5000)  8 Al 2.68-2.93, 4 As 2.87
Al (0.0069, 0.0069, 0.0000)  4 Cu 2.68-2.93, 4 As 2.76-2.86, 4 Al 2.88
Al (0.4931, 0.4931, 0.0000)  4 Cu 2.68-2.93, 4 As 2.76-2.86, 4 Al 2.88



2.
## GaFe4Pt5 (PBE)

Data for an optimized crystal structure of GaFe4Pt5.

Computed properties:
The value obtained for the density of states at the Fermi level is 6.6 states/eV/f.u. As for the energy of formation from the pure elements: -0.29 eV per atom. The calculated volume comes out at 142.5 Å³/f.u.

abc: 2.7770 2.7770 18.4744
angles: 90.00 90.00 90.00
Last column: nearest neighbours and their distance in Å.
Sites, in units of the cell vectors:
Fe (0.0000, 0.0000, 0.2020)  8 Pt 2.68-2.71, 4 Fe 2.78
Fe (0.0000, 0.0000, 0.7980)  8 Pt 2.68-2.71, 4 Fe 2.78
Fe (0.0000, 0.0000, 0.5992)  8 Pt 2.69-2.70, 4 Fe 2.78
Fe (0.0000, 0.0000, 0.4008)  8 Pt 2.69-2.70, 4 Fe 2.78
Pt (0.5000, 0.5000, 0.1007)  4 Ga 2.71, 4 Fe 2.71, 4 Pt 2.78
Pt (0.5000, 0.5000, 0.6994)  8 Fe 2.68-2.70, 4 Pt 2.78
Pt (0.5000, 0.5000, 0.3006)  8 Fe 2.68-2.70, 4 Pt 2.78
Pt (0.5000, 0.5000, 0.5000)  8 Fe 2.69, 4 Pt 2.78
Pt (0.5000, 0.5000, 0.8993)  4 Ga 2.71, 4 Fe 2.71, 4 Pt 2.78
Ga (0.0000, 0.0000, 0.0000)  8 Pt 2.71, 4 Ga 2.78



3.
## MnZn3Au7 (PBE)

Data for an optimized crystal structure of MnZn3Au7.

Computed properties:
The value obtained for the density of states at the Fermi level is 3.8 states/eV/f.u. As for the energy of formation from the pure elements: -0.03 eV per atom. The calculated volume comes out at 202.8 Å³/f.u.

abc: 5.3275 7.1064 7.1064
angles: 84.44 118.93 118.93
Last column: nearest neighbours and their distance in Å.
Sites, in units of the cell vectors:
Au (0.6638, 0.4107, 0.9339)  3 Zn 2.67-2.73, 3 Au 2.81-2.87, 1 Mn 2.87
Au (0.6861, 0.8139, 0.8139)  3 Zn 2.66-2.71, 1 Mn 2.76, 3 Au 2.87-2.92
Au (0.6638, 0.9339, 0.4107)  3 Zn 2.67-2.73, 3 Au 2.81-2.87, 1 Mn 2.87
Au (0.0000, 0.5000, 0.5000)  2 Zn 2.60, 2 Mn 2.66, 2 Au 2.92
Au (0.3139, 0.1861, 0.1861)  3 Zn 2.66-2.71, 1 Mn 2.76, 3 Au 2.87-2.92
Au (0.3362, 0.0661, 0.5893)  3 Zn 2.67-2.73, 3 Au 2.81-2.87, 1 Mn 2.87
Au (0.3362, 0.5893, 0.0661)  3 Zn 2.67-2.73, 3 Au 2.81-2.87, 1 Mn 2.87
Zn (0.5000, 0.0000, 0.0000)  6 Au 2.68-2.71
Zn (0.0000, 0.2274, 0.7726)  7 Au 2.60-2.73
Zn (0.0000, 0.7726, 0.2274)  7 Au 2.60-2.73
Mn (0.5000, 0.5000, 0.5000)  8 Au 2.66-2.87



4.
## Ta2AlPt (PBE)

Data for an optimized crystal structure of Ta2AlPt.

Computed properties:
The value obtained for the density of states at the Fermi level is 2.9 states/eV/f.u. As for the energy of formation from the pure elements: -0.42 eV per atom. The calculated volume comes out at 66.5 Å³/f.u.

abc: 5.0263 5.0263 2.8464
angles: 89.98 89.98 112.31
Last column: nearest neighbours and their distance in Å.
Sites, in units of the cell vectors:
Pt (0.0000, 0.5000, 0.5000)  2 Al 2.80, 2 Pt 2.85, 8 Ta 2.89
Ta (0.0000, 0.0000, 0.0000)  4 Ta 2.80-2.85, 4 Al 2.89, 4 Pt 2.89
Ta (0.5000, 0.5000, 0.0000)  4 Ta 2.80-2.85, 4 Pt 2.89, 4 Al 2.89
Al (0.5000, 0.0000, 0.5000)  2 Pt 2.80, 2 Al 2.85, 8 Ta 2.89



Question: The highest calculated volume belongs to which entry?
Answer: MnZn3Au7



Question: The lowest energy of formation from the pure elements belongs to which entry?
Answer: Ta2AlPt



Question: Among the records above, which one has the highest calculated volume?
Answer: MnZn3Au7